BaSe2Br: optimized geometry, GGA-PBE.

Values from the calculation:
- crystal system = cubic
- size of the total moment (μB per formula unit) = 2.4
- N(E_F) (states/eV/f.u.) = 6.0

Geometry as CIF:
```
data_BaSe2Br
_chemical_formula_sum 'Ba4 Se8 Br4'
_symmetry_space_group_name_H-M 'F -4 3 m'
_symmetry_Int_Tables_number 216
_symmetry_space_group_name_Hall 'F -4 2 3'
_cell_length_a 7.855
_cell_length_b 7.855
_cell_length_c 7.855
_cell_angle_alpha 90.00
_cell_angle_beta 90.00
_cell_angle_gamma 90.00
loop_
_atom_site_label
_atom_site_type_symbol
_atom_site_fract_x
_atom_site_fract_y
_atom_site_fract_z
Ba1 Ba 0.000 0.000 0.000
Se1 Se 0.000 0.000 0.500
Se2 Se 0.250 0.250 0.750
Br1 Br 0.250 0.250 0.250
```



BaSe2Br: optimized geometry, GGA-PBE.

Values from the calculation:
- crystal system = monoclinic
- size of the total moment (μB per formula unit) = 1.0
- N(E_F) (states/eV/f.u.) = 3.0

Geometry as CIF:
```
data_BaSe2Br
_chemical_formula_sum 'Ba2 Se4 Br2'
_symmetry_space_group_name_H-M 'C 1 m 1'
_symmetry_Int_Tables_number 8
_cell_length_a 10.841
_cell_length_b 4.662
_cell_length_c 5.848
_cell_angle_alpha 90.00
_cell_angle_beta 102.25
_cell_angle_gamma 90.00
loop_
_symmetry_equiv_pos_as_xyz
'x,y,z'
'x,-y,z'
'x+1/2,y+1/2,z'
'x+1/2,-y+1/2,z'
loop_
_atom_site_label
_atom_site_type_symbol
_atom_site_fract_x
_atom_site_fract_y
_atom_site_fract_z
Ba1 Ba 0.000 0.000 0.000
Se1 Se 0.010 0.500 0.456
Se2 Se 0.339 0.000 0.633
Br1 Br 0.213 0.500 0.082
```



BaSeBr2: optimized geometry, GGA-PBE.

Values from the calculation:
- crystal system = monoclinic
- size of the total moment (μB per formula unit) = 0.0
- N(E_F) (states/eV/f.u.) = 0.1

Geometry as CIF:
```
data_BaSeBr2
_chemical_formula_sum 'Ba2 Se2 Br4'
_symmetry_space_group_name_H-M 'C 1 2/m 1'
_symmetry_Int_Tables_number 12
_cell_length_a 7.309
_cell_length_b 9.948
_cell_length_c 5.309
_cell_angle_alpha 90.00
_cell_angle_beta 133.37
_cell_angle_gamma 90.00
loop_
_symmetry_equiv_pos_as_xyz
'x,y,z'
'-x,-y,-z'
'-x,y,-z'
'x,-y,z'
'x+1/2,y+1/2,z'
'-x+1/2,-y+1/2,-z'
'-x+1/2,y+1/2,-z'
'x+1/2,-y+1/2,z'
loop_
_atom_site_label
_atom_site_type_symbol
_atom_site_fract_x
_atom_site_fract_y
_atom_site_fract_z
Ba1 Ba 0.000 0.000 0.000
Se1 Se 0.000 0.500 0.000
Br1 Br 0.250 0.250 0.500
```



no.,formation energy from raw total energies (eV/atom)
1,-0.7352
2,-1.1273
3,-1.1474